Material: CaTiOs2
Method: DFT, PBE-GGA
State: relaxed

The structure in CIF format:
```
data_CaTiOs2
_cell_length_a 4.8354
_cell_length_b 4.8354
_cell_length_c 9.1264
_cell_angle_alpha 74.64
_cell_angle_beta 74.64
_cell_angle_gamma 90.00
_symmetry_space_group_name_H-M 'P 1'
_symmetry_Int_Tables_number 1
loop_
_symmetry_equiv_pos_as_xyz
'x,y,z'
loop_
_atom_site_label
_atom_site_fract_x
_atom_site_fract_y
_atom_site_fract_z
Os1 0.8482 0.1250 0.2500
Os2 0.3750 0.1518 0.7500
Os3 0.9018 0.6250 0.2500
Os4 0.8750 0.0982 0.7500
Ti1 0.0000 0.0000 0.0000
Ti2 0.7500 0.2500 0.5000
Ca1 0.5000 0.5000 0.0000
Ca2 0.2500 0.7500 0.5000
```

Values from the calculation:
Space group: I-42d
Excess energy over the best structure of this formula in the dataset: 0.411 eV/atom
Theoretical density: 7.9 g/cm³
Formation energy from the elements: 15.21 kcal/mol of atoms
Volume: 197.8 Å³/cell